[1]
The following is a DFT calculation (GGA-PBE) of a relaxed Li2AcErPd5 crystal.

Calculated values
**Magnetic moment**: 0.00 μB per formula unit
**Electronic total energy**: -44.09 eV per cell
**Symmetry**: No. 123

Unit cell a=4.5333 b=4.5333 c=8.0037 alpha=90.00 beta=90.00 gamma=90.00
Sites, in units of the cell vectors:
Li: 0.0000 0.0000 0.1409
Li: 0.0000 0.0000 0.8591
Ac: 0.5000 0.5000 0.5000
Er: 0.5000 0.5000 0.0000
Pd: 0.0000 0.0000 0.5000
Pd: 0.0000 0.5000 0.2386
Pd: 0.0000 0.5000 0.7614
Pd: 0.5000 0.0000 0.2386
Pd: 0.5000 0.0000 0.7614


[2]
The following is a DFT calculation (GGA-PBE) of a relaxed LiAcErPd crystal.

Calculated values
**Magnetic moment**: 0.00 μB per formula unit
**Electronic total energy**: -17.03 eV per cell
**Symmetry**: No. 216

Unit cell a=5.2524 b=5.2524 c=5.2524 alpha=60.00 beta=60.00 gamma=60.00
Sites, in units of the cell vectors:
Li: 0.0000 0.0000 0.0000
Ac: 0.7500 0.7500 0.7500
Er: 0.2500 0.2500 0.2500
Pd: 0.5000 0.5000 0.5000


[3]
The following is a DFT calculation (GGA-PBE) of a relaxed LiAcPmEr crystal.

Calculated values
**Magnetic moment**: 0.00 μB per formula unit
**Electronic total energy**: -14.72 eV per cell
**Symmetry**: No. 216

Unit cell a=5.7155 b=5.7155 c=5.7155 alpha=60.00 beta=60.00 gamma=60.00
Sites, in units of the cell vectors:
Li: 0.0000 0.0000 0.0000
Ac: 0.2500 0.2500 0.2500
Pm: 0.7500 0.7500 0.7500
Er: 0.5000 0.5000 0.5000


[4]
The following is a DFT calculation (GGA-PBE) of a relaxed LiAcErPt crystal.

Calculated values
**Magnetic moment**: 0.00 μB per formula unit
**Electronic total energy**: -18.67 eV per cell
**Symmetry**: No. 216

Unit cell a=5.2093 b=5.2093 c=5.2093 alpha=60.00 beta=60.00 gamma=60.00
Sites, in units of the cell vectors:
Li: 0.0000 0.0000 0.0000
Ac: 0.2500 0.2500 0.2500
Er: 0.7500 0.7500 0.7500
Pt: 0.5000 0.5000 0.5000


[5]
The following is a DFT calculation (GGA-PBE) of a relaxed LiAcErRh crystal.

Calculated values
**Magnetic moment**: 0.00 μB per formula unit
**Electronic total energy**: -19.25 eV per cell
**Symmetry**: No. 216

Unit cell a=5.1520 b=5.1520 c=5.1520 alpha=60.00 beta=60.00 gamma=60.00
Sites, in units of the cell vectors:
Li: 0.0000 0.0000 0.0000
Ac: 0.2500 0.2500 0.2500
Er: 0.7500 0.7500 0.7500
Rh: 0.5000 0.5000 0.5000


[6]
The following is a DFT calculation (GGA-PBE) of a relaxed LiAcEr2S4 crystal.

Calculated values
**Magnetic moment**: 0.00 μB per formula unit
**Electronic total energy**: -92.91 eV per cell
**Energy relative to the elements, uncorrected**: -1.8498 eV/atom
**Symmetry**: No. 63

Unit cell a=6.8998 b=6.8998 c=13.4060 alpha=90.00 beta=90.00 gamma=146.87
Sites, in units of the cell vectors:
Li: 0.1492 0.8508 0.7500
Li: 0.8508 0.1492 0.2500
Ac: 0.1169 0.8831 0.2500
Ac: 0.8831 0.1169 0.7500
Er: 0.3705 0.6295 0.0553
Er: 0.3705 0.6295 0.4447
Er: 0.6295 0.3705 0.5553
Er: 0.6295 0.3705 0.9447
S: 0.0000 0.0000 0.0000
S: 0.0000 0.0000 0.5000
S: 0.2662 0.7338 0.6186
S: 0.2662 0.7338 0.8814
S: 0.4453 0.5547 0.2500
S: 0.5547 0.4453 0.7500
S: 0.7338 0.2662 0.1186
S: 0.7338 0.2662 0.3814


[7]
The following is a DFT calculation (GGA-PBE) of a relaxed Li3Ac2ErS6 crystal.

Calculated values
**Magnetic moment**: 0.00 μB per formula unit
**Electronic total energy**: -65.32 eV per cell
**Energy relative to the elements, uncorrected**: -1.8365 eV/atom
**Symmetry**: No. 12

Unit cell a=8.8566 b=8.8566 c=7.5715 alpha=90.41 beta=90.41 gamma=26.76
Sites, in units of the cell vectors:
Li: 0.0000 0.0000 0.0000
Li: 0.3791 0.3791 0.7760
Li: 0.6209 0.6209 0.2240
Ac: 0.3077 0.3077 0.2452
Ac: 0.6923 0.6923 0.7548
Er: 0.0000 0.0000 0.5000
S: 0.1575 0.1575 0.0251
S: 0.1581 0.1581 0.4732
S: 0.4847 0.4847 0.2592
S: 0.5153 0.5153 0.7408
S: 0.8419 0.8419 0.5268
S: 0.8425 0.8425 0.9749


[8]
The following is a DFT calculation (GGA-PBE) of a relaxed Li3AcEr2S6 crystal.

Calculated values
**Magnetic moment**: 0.00 μB per formula unit
**Electronic total energy**: -65.53 eV per cell
**Energy relative to the elements, uncorrected**: -1.8154 eV/atom
**Symmetry**: No. 12

Unit cell a=7.0071 b=7.0071 c=6.5881 alpha=99.43 beta=99.43 gamma=120.47
Sites, in units of the cell vectors:
Li: 0.0000 0.0000 0.0000
Li: 0.3154 0.6846 0.0000
Li: 0.6846 0.3154 0.0000
Ac: 0.5000 0.5000 0.5000
Er: 0.1656 0.8344 0.5000
Er: 0.8344 0.1656 0.5000
S: 0.0663 0.4228 0.2506
S: 0.2217 0.2217 0.7528
S: 0.4228 0.0663 0.2506
S: 0.5772 0.9337 0.7494
S: 0.7783 0.7783 0.2472
S: 0.9337 0.5772 0.7494


[9]
The following is a DFT calculation (GGA-PBE) of a relaxed Li2AcErS4 crystal.

Calculated values
**Magnetic moment**: 0.00 μB per formula unit
**Electronic total energy**: -43.28 eV per cell
**Energy relative to the elements, uncorrected**: -1.7841 eV/atom
**Symmetry**: No. 10

Unit cell a=6.6716 b=4.0758 c=7.1316 alpha=90.00 beta=111.28 gamma=90.00
Sites, in units of the cell vectors:
Li: 0.0000 0.0000 0.0000
Li: 0.0000 0.5000 0.5000
Ac: 0.5000 0.0000 0.5000
Er: 0.5000 0.5000 0.0000
S: 0.2418 0.5000 0.2225
S: 0.2485 0.0000 0.7655
S: 0.7515 0.0000 0.2345
S: 0.7582 0.5000 0.7775


[10]
The following is a DFT calculation (GGA-PBE) of a relaxed LiAcErSb crystal.

Calculated values
**Magnetic moment**: 0.00 μB per formula unit
**Electronic total energy**: -16.12 eV per cell
**Energy relative to the elements, uncorrected**: -0.3540 eV/atom
**Symmetry**: No. 216

Unit cell a=5.4639 b=5.4639 c=5.4639 alpha=60.00 beta=60.00 gamma=60.00
Sites, in units of the cell vectors:
Li: 0.0000 0.0000 0.0000
Ac: 0.7500 0.7500 0.7500
Er: 0.2500 0.2500 0.2500
Sb: 0.5000 0.5000 0.5000


[11]
The following is a DFT calculation (GGA-PBE) of a relaxed LiAcEr2Se4 crystal.

Calculated values
**Magnetic moment**: 0.00 μB per formula unit
**Electronic total energy**: -84.81 eV per cell
**Energy relative to the elements, uncorrected**: -1.6647 eV/atom
**Symmetry**: No. 63

Unit cell a=7.1957 b=7.1957 c=14.0241 alpha=90.00 beta=90.00 gamma=146.80
Sites, in units of the cell vectors:
Li: 0.1467 0.8533 0.7500
Li: 0.8533 0.1467 0.2500
Ac: 0.1208 0.8792 0.2500
Ac: 0.8792 0.1208 0.7500
Er: 0.3707 0.6293 0.0567
Er: 0.3707 0.6293 0.4433
Er: 0.6293 0.3707 0.5567
Er: 0.6293 0.3707 0.9433
Se: 0.0000 0.0000 0.0000
Se: 0.0000 0.0000 0.5000
Se: 0.2672 0.7328 0.6180
Se: 0.2672 0.7328 0.8820
Se: 0.4502 0.5498 0.2500
Se: 0.5498 0.4502 0.7500
Se: 0.7328 0.2672 0.1180
Se: 0.7328 0.2672 0.3820


[12]
The following is a DFT calculation (GGA-PBE) of a relaxed LiAc2ErSe5 crystal.

Calculated values
**Magnetic moment**: 0.00 μB per formula unit
**Electronic total energy**: -97.82 eV per cell
**Energy relative to the elements, uncorrected**: -1.8661 eV/atom
**Symmetry**: No. 36

Unit cell a=9.1857 b=9.1857 c=12.6472 alpha=90.00 beta=90.00 gamma=152.92
Sites, in units of the cell vectors:
Li: 0.0480 0.9520 0.5000
Li: 0.9520 0.0480 0.0000
Ac: 0.3735 0.6265 0.3384
Ac: 0.3932 0.6068 0.7194
Ac: 0.6068 0.3932 0.2194
Ac: 0.6265 0.3735 0.8384
Er: 0.3009 0.6991 0.0428
Er: 0.6991 0.3009 0.5428
Se: 0.0015 0.9985 0.8156
Se: 0.1410 0.8590 0.0345
Se: 0.1900 0.8100 0.3914
Se: 0.2146 0.7854 0.6954
Se: 0.4493 0.5507 0.0965
Se: 0.5507 0.4493 0.5965
Se: 0.7854 0.2146 0.1954
Se: 0.8100 0.1900 0.8914
Se: 0.8590 0.1410 0.5345
Se: 0.9985 0.0015 0.3156